Record 1
{
  "formula": "YTaW2",
  "functional": "PBE-GGA",
  "state": "relaxed",
  "lattice_angstrom": [[2.905, 0.000, 0.000], [0.000, 4.540, 0.000], [-1.109, 0.000, 5.812]],
  "species": ["Y", "Ta", "W", "W"],
  "fractional_positions": [[0.000, 0.000, 0.000], [0.716, 0.500, 0.285], [0.269, 0.500, 0.721], [0.479, 0.000, 0.511]],
  "space_group": "Pm (6)",
  "energy_ev_per_cell": -42.6,
  "delta_e_f_kj_per_mol_fu": 157,
  "vol_a3_per_atom": 19.2
}

=====

Record 2
{
  "formula": "AlIr2Se",
  "functional": "PBE-GGA",
  "state": "relaxed",
  "lattice_angstrom": [[2.822, -4.385, 0.000], [2.822, 4.385, 0.000], [-1.547, 0.000, 2.529]],
  "species": ["Al", "Ir", "Ir", "Se"],
  "fractional_positions": [[0.000, 0.000, 0.000], [0.000, 0.500, 0.500], [0.500, 0.000, 0.500], [0.500, 0.500, 0.000]],
  "space_group": "C2/m (12)",
  "formation_energy_uncorrected_ev_per_atom": 0.134,
  "energy_ev_per_cell": -24.4,
  "vol_a3_per_atom": 15.6
}

=====

Record 3
{
  "formula": "Ac2TmZnO6",
  "functional": "PBE-GGA",
  "state": "relaxed",
  "lattice_angstrom": [[5.870, 0.000, 0.000], [0.000, 5.971, 0.000], [-5.782, 0.000, 8.347]],
  "species": ["Ac", "Ac", "Ac", "Ac", "Tm", "Tm", "Zn", "Zn", "O", "O", "O", "O", "O", "O", "O", "O", "O", "O", "O", "O"],
  "fractional_positions": [[0.237, 0.044, 0.249], [0.237, 0.456, 0.749], [0.763, 0.544, 0.251], [0.763, 0.956, 0.751], [0.500, 0.000, 0.000], [0.500, 0.500, 0.500], [0.000, 0.000, 0.500], [0.000, 0.500, 0.000], [0.154, 0.212, 0.951], [0.154, 0.288, 0.451], [0.236, 0.705, 0.951], [0.236, 0.795, 0.451], [0.336, 0.030, 0.745], [0.336, 0.470, 0.245], [0.664, 0.530, 0.755], [0.664, 0.970, 0.255], [0.764, 0.205, 0.549], [0.764, 0.295, 0.049], [0.846, 0.712, 0.549], [0.846, 0.788, 0.049]],
  "space_group": "P2_1/c (14)",
  "formation_energy_uncorrected_ev_per_atom": -2.781,
  "energy_ev_per_cell": -143.0,
  "vol_a3_per_atom": 14.6
}

=====

Record 4
{
  "formula": "ZrTa3Cl",
  "functional": "PBE-GGA",
  "state": "relaxed",
  "lattice_angstrom": [[5.025, 0.000, 0.000], [0.000, 5.025, 0.000], [0.000, 0.000, 5.025]],
  "species": ["Zr", "Ta", "Ta", "Ta", "Cl"],
  "fractional_positions": [[0.000, 0.000, 0.000], [0.000, 0.000, 0.500], [0.000, 0.500, 0.000], [0.500, 0.000, 0.000], [0.500, 0.500, 0.500]],
  "space_group": "Pm-3m (221)",
  "formation_energy_uncorrected_ev_per_atom": 2.120,
  "energy_ev_per_cell": -35.4,
  "vol_a3_per_atom": 25.4
}

=====

Number 1: size of the total moment 0.000 μB/atom. Number 2: size of the total moment 0.000 μB/atom. Number 3: size of the total moment 0.101 μB/atom. Number 4: size of the total moment 0.000 μB/atom.